Material: Ce3InAg
Method: DFT, GGA-PBE
State: relaxed

Cell: 6.0324 10.5783 8.5553 Å, 90.00 90.00 90.00°
Space group Pnma (No. 62)
Asymmetric unit:
Ce  0.0001  0.0891  0.1157 [8 per cell]
Ce  0.2490  0.2500  0.7486 [4 per cell]
In  0.0000  0.0000  0.5000 [4 per cell]
Ag  0.0022  0.7500  0.5886 [4 per cell]

Calculated values
Energy of formation from the pure elements (eV per atom): -0.09

***

Material: RbSeCl3
Method: DFT, GGA-PBE
State: relaxed

Cell: 5.7396 7.3446 9.4781 Å, 67.26 86.08 89.79°
Space group P-1 (No. 2)
Asymmetric unit:
Rb  0.2118  0.1535  0.1939 [2 per cell]
Se  0.1618  0.4073  0.6849 [2 per cell]
Cl  0.0013  0.7425  0.4996 [2 per cell]
Cl  0.2834  0.0929  0.8448 [2 per cell]
Cl  0.2854  0.5612  0.8441 [2 per cell]

Calculated values
Formation energy (no corrections) (eV per atom): -0.943

***

Material: PmHfGa2
Method: DFT, GGA-PBE
State: relaxed

Cell: 3.6006 3.6006 6.6150 Å, 90.00 90.00 90.00°
Space group P4/mmm (No. 123)
Asymmetric unit:
Pm  0.0000  0.0000  0.0000 [1 per cell]
Hf  0.0000  0.0000  0.5000 [1 per cell]
Ga  0.5000  0.5000  0.2901 [2 per cell]

Calculated values
Energy of formation from the pure elements (eV per atom): -0.42

***

Material: DyThSb2
Method: DFT, GGA-PBE
State: relaxed

Cell: 4.3665 4.3665 15.0099 Å, 90.00 90.00 120.00°
Space group P6_3/mmc (No. 194)
Asymmetric unit:
Dy  0.0000  0.0000  0.0000 [2 per cell]
Th  0.3333  0.6667  0.2500 [2 per cell]
Sb  0.3333  0.6667  0.6189 [4 per cell]

Calculated values
Formation energy (no corrections) (eV per atom): -0.982

***

Material: RbScIr2O8
Method: DFT, GGA-PBE
State: relaxed

Cell: 5.6886 5.6886 8.1365 Å, 90.00 90.00 120.00°
Space group P-3 (No. 147)
Asymmetric unit:
Rb  0.0000  0.0000  0.0000 [1 per cell]
Sc  0.0000  0.0000  0.5000 [1 per cell]
Ir  0.3333  0.6667  0.7352 [2 per cell]
O  0.0902  0.3287  0.6555 [6 per cell]
O  0.3333  0.6667  0.9549 [2 per cell]

Calculated values
Formation energy (no corrections) (eV per atom): -1.135